(1)
K4Cu5Te6 | PBE-GGA | optimized geometry

Results
- space group = Cmc2_1, No. 36
- crystal system = orthorhombic

abc: 4.4644 11.0326 18.0236
angles: 90.00 90.00 101.67
With the nearest neighbours (Å) after each atom.
Fractional positions:
Cu  0.3729  0.7459  0.2363  4 Te 2.63-2.66
Cu  0.6547  0.3093  0.4962  4 Te 2.65-2.86
Cu  0.3656  0.7313  0.7230  1 Cu 2.53, 3 Te 2.64-2.65
Cu  0.7327  0.4654  0.1467  2 Cu 2.53-2.75, 4 Te 2.64-2.81
Cu  0.6271  0.2541  0.7363  4 Te 2.63-2.66
Cu  0.8587  0.7174  0.1261  4 Te 2.62-2.71, 1 Cu 2.75
Cu  0.2673  0.5346  0.6467  2 Cu 2.53-2.75, 4 Te 2.64-2.81
Cu  0.6344  0.2687  0.2230  1 Cu 2.53, 3 Te 2.64-2.65
Cu  0.1413  0.2826  0.6261  4 Te 2.62-2.71, 1 Cu 2.75
Cu  0.3453  0.6907  0.9962  4 Te 2.65-2.86
Te  0.4114  0.8228  0.8587  2 Cu 2.64-2.86
Te  0.7810  0.5619  0.0120  4 Cu 2.64-2.65
Te  0.4475  0.8950  0.3536  1 Cu 2.66
Te  0.8117  0.6235  0.2599  4 Cu 2.62-2.66
Te  0.8464  0.6928  0.6473  4 Cu 2.65-2.81
Te  0.4280  0.8560  0.1064  4 Cu 2.63-2.71
Te  0.5720  0.1440  0.6064  4 Cu 2.63-2.71
Te  0.5525  0.1050  0.8536  1 Cu 2.66
Te  0.1883  0.3765  0.7599  4 Cu 2.62-2.66
Te  0.5886  0.1772  0.3587  2 Cu 2.64-2.86
Te  0.2190  0.4381  0.5120  4 Cu 2.64-2.65
Te  0.1536  0.3072  0.1473  4 Cu 2.65-2.81
K  0.7924  0.5848  0.8273  2 Cu 3.32, 6 Te 3.34-3.45
K  0.0055  0.0110  0.2262  7 Te 3.44-3.73, 5 Cu 3.57-3.65
K  0.9945  0.9890  0.7262  7 Te 3.44-3.73, 5 Cu 3.57-3.65
K  0.9804  0.9609  0.9797  6 Te 3.39-3.55, 3 Cu 3.69-3.73
K  0.2076  0.4152  0.3273  2 Cu 3.32, 6 Te 3.34-3.45
K  0.8386  0.6772  0.4560  6 Te 3.45-3.73
K  0.0196  0.0391  0.4797  6 Te 3.39-3.55, 3 Cu 3.69-3.73
K  0.1614  0.3228  0.9560  6 Te 3.45-3.73

---

(2)
KCu2Te | PBE-GGA | optimized geometry

Results
- space group = Pmm2, No. 25
- crystal system = orthorhombic

abc: 3.1258 3.8394 7.7640
angles: 90.00 90.00 90.00
With the nearest neighbours (Å) after each atom.
Fractional positions:
Te  0.5000  0.5000  0.8102  1 Cu 2.63
Cu  0.5000  0.5000  0.1486  4 Cu 2.57, 1 Te 2.63
Cu  0.0000  0.0000  0.0611  4 Cu 2.57
K  0.0000  0.0000  0.4801  2 K 3.13, 1 Cu 3.25

---

(3)
KCuTe3 | PBE-GGA | optimized geometry

Results
- space group = Pm-3m, No. 221
- energy above the most stable polymorph in this dataset (eV per atom) = 0.202
- crystal system = cubic

abc: 5.3051 5.3051 5.3051
angles: 90.00 90.00 90.00
With the nearest neighbours (Å) after each atom.
Fractional positions:
Cu  0.0000  0.0000  0.0000  6 Te 2.65
K  0.5000  0.5000  0.5000  12 Te 3.75
Te  0.0000  0.5000  0.0000  2 Cu 2.65
Te  0.0000  0.0000  0.5000  2 Cu 2.65
Te  0.5000  0.0000  0.0000  2 Cu 2.65

---

(4)
KCu3Te | PBE-GGA | optimized geometry

Results
- space group = Pm-3m, No. 221
- energy above the most stable polymorph in this dataset (eV per atom) = 0.000
- crystal system = cubic

abc: 5.1262 5.1262 5.1262
angles: 90.00 90.00 90.00
With the nearest neighbours (Å) after each atom.
Fractional positions:
K  0.5000  0.5000  0.5000  12 Cu 3.62
Te  0.0000  0.0000  0.0000  6 Cu 2.56
Cu  0.0000  0.0000  0.5000  2 Te 2.56
Cu  0.0000  0.5000  0.0000  2 Te 2.56
Cu  0.5000  0.0000  0.0000  2 Te 2.56

---

(5)
KCuTe2 | PBE-GGA | optimized geometry

Results
- space group = Fm-3m, No. 225
- crystal system = cubic

abc: 5.3527 5.3527 5.3527
angles: 60.00 60.00 60.00
With the nearest neighbours (Å) after each atom.
Fractional positions:
Cu  0.5000  0.5000  0.5000  8 Te 3.28
Te  0.7500  0.7500  0.7500  4 Cu 3.28, 4 K 3.28
Te  0.2500  0.2500  0.2500  4 K 3.28, 4 Cu 3.28
K  0.0000  0.0000  0.0000  8 Te 3.28

---

(6)
KCuTe2 | PBE-GGA | optimized geometry

Results
- space group = I4/mmm, No. 139
- crystal system = tetragonal

abc: 5.6438 5.6438 5.6438
angles: 127.55 127.55 77.36
With the nearest neighbours (Å) after each atom.
Fractional positions:
Te  0.5000  0.5000  0.0000  4 K 3.33, 4 Cu 3.33, 4 Te 3.53
Te  0.0000  0.0000  0.0000  4 K 3.33, 4 Cu 3.33, 4 Te 3.53
Cu  0.2500  0.7500  0.5000  8 Te 3.33, 4 K 3.53
K  0.7500  0.2500  0.5000  8 Te 3.33, 4 Cu 3.53

---

(7)
KCu2Te | PBE-GGA | optimized geometry

Results
- space group = Pmmm, No. 47
- crystal system = orthorhombic

abc: 4.4760 5.2238 4.9952
angles: 90.00 90.00 90.00
With the nearest neighbours (Å) after each atom.
Fractional positions:
K  0.5000  0.2500  0.2500  4 Te 3.61, 8 Cu 3.64
Te  0.5000  0.7500  0.7500  4 Cu 2.59
Cu  0.0000  0.7500  0.4897  2 Cu 2.39-2.60, 2 Te 2.59
Cu  0.0000  0.7500  0.0103  2 Cu 2.39-2.60, 2 Te 2.59

---

(8)
KCuTe2 | PBE-GGA | optimized geometry

Results
- space group = P2/m, No. 10
- crystal system = monoclinic

abc: 4.0465 5.3209 6.5522
angles: 90.68 90.00 90.00
With the nearest neighbours (Å) after each atom.
Fractional positions:
K  0.5000  0.7500  0.7500  8 Te 3.73-3.74, 2 K 4.05
Cu  0.5000  0.2500  0.2500  4 Te 2.59
Te  0.0000  0.2478  0.4962  2 Cu 2.59
Te  0.0000  0.2522  0.0038  2 Cu 2.59

---

(9)
KCu2Te | PBE-GGA | optimized geometry

Results
- space group = R3m, No. 160
- crystal system = trigonal

abc: 4.3420 4.3420 6.8489
angles: 71.53 71.53 60.08
With the nearest neighbours (Å) after each atom.
Fractional positions:
Cu  0.6890  0.6890  0.9328  3 Cu 2.51, 3 Te 2.74
Cu  0.0219  0.0219  0.9343  3 Cu 2.51, 3 Te 2.74
Te  0.2973  0.2973  0.1073  6 Cu 2.74
K  0.4918  0.4918  0.5256  7 Cu 3.61-3.78, 4 Te 3.66-3.71

---

(10)
KCuTe3 | PBE-GGA | optimized geometry

Results
- space group = P-1, No. 2
- energy above the most stable polymorph in this dataset (eV per atom) = 0.000
- crystal system = triclinic

abc: 6.9722 8.6712 6.5549
angles: 83.40 70.04 69.57
With the nearest neighbours (Å) after each atom.
Fractional positions:
Te  0.6657  0.1737  0.6420  1 Cu 2.53, 1 Te 2.79
Te  0.0035  0.8784  0.5069  1 Cu 2.58, 1 Te 2.79
Te  0.0361  0.3741  0.4287  2 Cu 2.59-2.64
Te  0.4153  0.5273  0.2179  2 Cu 2.59-2.64
Te  0.7855  0.7279  0.0056  1 Cu 2.53, 1 Te 2.79
Te  0.4477  0.0233  0.1405  1 Cu 2.59, 1 Te 2.79
K  0.5018  0.6957  0.6514  1 Cu 3.56, 5 Te 3.61-3.76
K  0.9495  0.2054  0.9954  1 Cu 3.56, 5 Te 3.61-3.76
Cu  0.4399  0.2347  0.3936  4 Te 2.53-2.64
Cu  0.0113  0.6672  0.2543  4 Te 2.53-2.64

---

(11)
KCuTe2 | PBE-GGA | optimized geometry

Results
- space group = Pmmm, No. 47
- crystal system = orthorhombic

abc: 3.2012 3.8343 8.8271
angles: 90.00 90.00 90.00
With the nearest neighbours (Å) after each atom.
Fractional positions:
Te  0.0000  0.0000  0.0453  4 Cu 3.08, 2 Te 3.20
Te  0.0000  0.0000  0.4547  4 Cu 3.08, 2 Te 3.20
K  0.5000  0.5000  0.7500  2 K 3.20
Cu  0.5000  0.5000  0.2500  8 Te 3.08, 2 Cu 3.20

---

(12)
KCuTe2 | PBE-GGA | optimized geometry

Results
- space group = I-42d, No. 122
- crystal system = tetragonal

abc: 5.9850 5.9850 9.3297
angles: 71.29 71.29 90.00
With the nearest neighbours (Å) after each atom.
Fractional positions:
Te  0.3750  0.1959  0.7500  2 Cu 2.60
Te  0.9459  0.6250  0.2500  2 Cu 2.60
Te  0.8750  0.0541  0.7500  2 Cu 2.60
Te  0.8041  0.1250  0.2500  2 Cu 2.60
Cu  0.7500  0.2500  0.5000  4 Te 2.60
Cu  0.0000  0.0000  0.0000  4 Te 2.60
K  0.2500  0.7500  0.5000  4 Te 3.63
K  0.5000  0.5000  0.0000  4 Te 3.63

---

The calculation returns the following final energy values, one per record and in order: -3.348 -2.991 -3.047 -2.861 -2.764 -2.810 -3.185 -3.310 -3.177 -3.249 -2.964 -3.247 eV per atom.
The calculation returns the following formation energy without anion corrections values, one per record and in order: -41.8 11.3 -11.9 42.9 10.1 5.7 -7.5 -42.5 -6.7 -31.4 -9.1 -36.4 kJ per mole of atoms.
The calculation returns the following total moment values, one per record and in order: 0.0 0.0 0.0 0.0 0.0 0.0 0.0 0.0 0.1 0.0 0.0 0.0 Bohr magnetons per cell.